Entry from Alexandria via LeMat-Bulk: an optimized crystal structure of Lu5Ni2Sb (PBEsol).

a = 8.296 Å, b = 8.296 Å, c = 8.296 Å
α = 127.59°, β = 127.59°, γ = 77.30°
Sites, in units of the cell vectors:
Lu  0.000  0.000  0.000
Lu  0.021  0.521  0.814
Lu  0.207  0.021  0.500
Lu  0.293  0.793  0.814
Lu  0.479  0.293  0.500
Lu  0.500  0.500  0.000
Lu  0.521  0.707  0.500
Lu  0.707  0.207  0.186
Lu  0.793  0.979  0.500
Lu  0.979  0.479  0.186
Ni  0.131  0.369  0.500
Ni  0.369  0.869  0.238
Ni  0.631  0.131  0.762
Ni  0.869  0.631  0.500
Sb  0.250  0.250  0.000
Sb  0.750  0.750  0.000

mass density: 10.64 g/cm3
ΔE_f (raw): -0.581 eV per atom


Entry from Alexandria via LeMat-Bulk: an optimized crystal structure of LuSi2Ni (PBEsol).

a = 8.426 Å, b = 8.426 Å, c = 3.859 Å
α = 90.00°, β = 90.00°, γ = 153.62°
Sites, in units of the cell vectors:
Lu  0.105  0.895  0.750
Lu  0.895  0.105  0.250
Si  0.250  0.750  0.250
Si  0.460  0.540  0.750
Si  0.540  0.460  0.250
Si  0.750  0.250  0.750
Ni  0.325  0.675  0.750
Ni  0.675  0.325  0.250

mass density: 7.91 g/cm3
ΔE_f (raw): -0.880 eV per atom


Entry from Alexandria via LeMat-Bulk: an optimized crystal structure of LuSi2Ni2 (PBEsol).

a = 5.431 Å, b = 5.431 Å, c = 5.431 Å
α = 138.21°, β = 138.21°, γ = 60.58°
Sites, in units of the cell vectors:
Lu  0.000  0.000  0.000
Si  0.375  0.375  0.000
Si  0.625  0.625  0.000
Ni  0.250  0.750  0.500
Ni  0.750  0.250  0.500

mass density: 8.22 g/cm3
ΔE_f (raw): -0.904 eV per atom


Entry from Alexandria via LeMat-Bulk: an optimized crystal structure of Lu3Si2Ni6 (PBEsol).

a = 7.390 Å, b = 7.390 Å, c = 7.390 Å
α = 109.47°, β = 109.47°, γ = 109.47°
Sites, in units of the cell vectors:
Lu  0.000  0.286  0.286
Lu  0.000  0.714  0.714
Lu  0.286  0.000  0.286
Lu  0.286  0.286  0.000
Lu  0.714  0.000  0.714
Lu  0.714  0.714  0.000
Si  0.000  0.000  0.500
Si  0.000  0.500  0.000
Si  0.500  0.000  0.000
Si  0.500  0.500  0.500
Ni  0.000  0.332  0.668
Ni  0.000  0.668  0.332
Ni  0.332  0.000  0.668
Ni  0.332  0.332  0.664
Ni  0.332  0.664  0.332
Ni  0.332  0.668  0.000
Ni  0.336  0.668  0.668
Ni  0.664  0.332  0.332
Ni  0.668  0.000  0.332
Ni  0.668  0.332  0.000
Ni  0.668  0.336  0.668
Ni  0.668  0.668  0.336

mass density: 9.98 g/cm3
ΔE_f (raw): -0.755 eV per atom


Look up the ΔE_f (raw) of the first one. -0.581 eV per atom


Which formula does entry 3 have? LuSi2Ni2